(1)
Entry from Alexandria via LeMat-Bulk: an optimized crystal structure of FeNiGePd (GGA-PBE). Values from VASP.

Computed properties:
The space-group type is F-43m. The value obtained for the density of states at the Fermi level is 0.527 states/eV/atom. The value obtained for the formation energy is -0.1157 eV/atom. The calculation puts the energy at -24.52 eV/cell. The total moment is 2.985 μB/cell. As for the crystal system: cubic.

Cell and atoms, written as Quantum ESPRESSO input:
```
&SYSTEM
  ibrav = 0, nat = 4, ntyp = 4
/
ATOMIC_SPECIES
Fe 55.84 Fe.upf
Ni 58.69 Ni.upf
Ge 72.64 Ge.upf
Pd 106.42 Pd.upf
CELL_PARAMETERS angstrom
0.0000 2.9748 2.9748
2.9748 0.0000 2.9748
2.9748 2.9748 0.0000
ATOMIC_POSITIONS crystal
Fe 0.0000 0.0000 0.0000
Ni 0.2500 0.2500 0.2500
Ge 0.7500 0.7500 0.7500
Pd 0.5000 0.5000 0.5000
```

(2)
Entry from Alexandria via LeMat-Bulk: an optimized crystal structure of FeNi7Ge2Pd2 (GGA-PBE). Values from VASP.

Computed properties:
The space-group type is C2/m. The value obtained for the density of states at the Fermi level is 0.919 states/eV/atom. The value obtained for the formation energy is 0.0014 eV/atom. The calculation puts the energy at -68.54 eV/cell. The total moment is 6.042 μB/cell. As for the crystal system: monoclinic.

Cell and atoms, written as Quantum ESPRESSO input:
```
&SYSTEM
  ibrav = 0, nat = 12, ntyp = 4
/
ATOMIC_SPECIES
Fe 55.84 Fe.upf
Ni 58.69 Ni.upf
Ge 72.64 Ge.upf
Pd 106.42 Pd.upf
CELL_PARAMETERS angstrom
2.3840 -2.3763 0.0000
2.3840 2.3763 0.0000
-1.7502 0.0000 13.9209
ATOMIC_POSITIONS crystal
Fe 0.0000 0.0000 0.0000
Ni 0.0486 0.5484 0.1311
Ni 0.2658 0.2658 0.5372
Ni 0.4516 0.9514 0.8689
Ni 0.5000 0.5000 0.0000
Ni 0.5484 0.0486 0.1311
Ni 0.7342 0.7342 0.4628
Ni 0.9514 0.4516 0.8689
Ge 0.1569 0.1569 0.3699
Ge 0.8431 0.8431 0.6301
Pd 0.3982 0.3982 0.7227
Pd 0.6018 0.6018 0.2773
```

(3)
Entry from Alexandria via LeMat-Bulk: an optimized crystal structure of Pm2FeNi4Ge3 (GGA-PBE). Values from VASP.

Computed properties:
The space-group type is P-4m2. The value obtained for the density of states at the Fermi level is 0.885 states/eV/atom. The value obtained for the formation energy is -0.5724 eV/atom. The calculation puts the energy at -60.67 eV/cell. The total moment is 2.987 μB/cell. As for the crystal system: tetragonal.

Cell and atoms, written as Quantum ESPRESSO input:
```
&SYSTEM
  ibrav = 0, nat = 10, ntyp = 4
/
ATOMIC_SPECIES
Pm 145.00 Pm.upf
Fe 55.84 Fe.upf
Ni 58.69 Ni.upf
Ge 72.64 Ge.upf
CELL_PARAMETERS angstrom
4.1122 0.0000 0.0000
0.0000 4.1122 0.0000
0.0000 0.0000 9.7032
ATOMIC_POSITIONS crystal
Pm 0.0000 0.5000 0.2475
Pm 0.5000 0.0000 0.7525
Fe 0.5000 0.5000 0.0000
Ni 0.0000 0.0000 0.5000
Ni 0.0000 0.5000 0.8736
Ni 0.5000 0.0000 0.1264
Ni 0.5000 0.5000 0.5000
Ge 0.0000 0.0000 0.0000
Ge 0.0000 0.5000 0.6283
Ge 0.5000 0.0000 0.3717
```

(4)
Entry from Alexandria via LeMat-Bulk: an optimized crystal structure of Pr2FeNi3Ge4 (GGA-PBE). Values from VASP.

Computed properties:
The space-group type is P-4m2. The value obtained for the density of states at the Fermi level is 0.789 states/eV/atom. The value obtained for the formation energy is -0.6141 eV/atom. The calculation puts the energy at -59.98 eV/cell. The total moment is 2.011 μB/cell. As for the crystal system: tetragonal.

Cell and atoms, written as Quantum ESPRESSO input:
```
&SYSTEM
  ibrav = 0, nat = 10, ntyp = 4
/
ATOMIC_SPECIES
Pr 140.91 Pr.upf
Fe 55.84 Fe.upf
Ni 58.69 Ni.upf
Ge 72.64 Ge.upf
CELL_PARAMETERS angstrom
4.1739 0.0000 0.0000
0.0000 4.1739 0.0000
0.0000 0.0000 9.8476
ATOMIC_POSITIONS crystal
Pr 0.0000 0.5000 0.2477
Pr 0.5000 0.0000 0.7523
Fe 0.0000 0.0000 0.5000
Ni 0.0000 0.5000 0.8761
Ni 0.5000 0.0000 0.1239
Ni 0.5000 0.5000 0.5000
Ge 0.0000 0.0000 0.0000
Ge 0.0000 0.5000 0.6284
Ge 0.5000 0.0000 0.3716
Ge 0.5000 0.5000 0.0000
```

(5)
Entry from Alexandria via LeMat-Bulk: an optimized crystal structure of FeNi7Ge2Pt2 (GGA-PBE). Values from VASP.

Computed properties:
The space-group type is C2/m. The value obtained for the density of states at the Fermi level is 0.754 states/eV/atom. The value obtained for the formation energy is -0.1017 eV/atom. The calculation puts the energy at -71.47 eV/cell. The total moment is 5.683 μB/cell. As for the crystal system: monoclinic.

Cell and atoms, written as Quantum ESPRESSO input:
```
&SYSTEM
  ibrav = 0, nat = 12, ntyp = 4
/
ATOMIC_SPECIES
Fe 55.84 Fe.upf
Ni 58.69 Ni.upf
Ge 72.64 Ge.upf
Pt 195.08 Pt.upf
CELL_PARAMETERS angstrom
2.6019 -2.5692 0.0000
2.6019 2.5692 0.0000
-0.0244 0.0000 11.4954
ATOMIC_POSITIONS crystal
Fe 0.0000 0.0000 0.0000
Ni 0.0011 0.5011 0.1467
Ni 0.2340 0.2340 0.4992
Ni 0.4989 0.9989 0.8533
Ni 0.5000 0.5000 0.0000
Ni 0.5011 0.0011 0.1467
Ni 0.7660 0.7660 0.5008
Ni 0.9989 0.4989 0.8533
Ge 0.0011 0.0011 0.3090
Ge 0.9989 0.9989 0.6910
Pt 0.4980 0.4980 0.6844
Pt 0.5020 0.5020 0.3156
```

(6)
Entry from Alexandria via LeMat-Bulk: an optimized crystal structure of PuFeNiGe (GGA-PBE). Values from VASP.

Computed properties:
The space-group type is F-43m. The value obtained for the density of states at the Fermi level is 1.105 states/eV/atom. The value obtained for the formation energy is -0.1485 eV/atom. The calculation puts the energy at -33.79 eV/cell. The total moment is 2.049 μB/cell. As for the crystal system: cubic.

Cell and atoms, written as Quantum ESPRESSO input:
```
&SYSTEM
  ibrav = 0, nat = 4, ntyp = 4
/
ATOMIC_SPECIES
Pu 244.00 Pu.upf
Fe 55.84 Fe.upf
Ni 58.69 Ni.upf
Ge 72.64 Ge.upf
CELL_PARAMETERS angstrom
0.0000 3.1496 3.1496
3.1496 0.0000 3.1496
3.1496 3.1496 0.0000
ATOMIC_POSITIONS crystal
Pu 0.0000 0.0000 0.0000
Fe 0.7500 0.7500 0.7500
Ni 0.2500 0.2500 0.2500
Ge 0.5000 0.5000 0.5000
```

(7)
Entry from Alexandria via LeMat-Bulk: an optimized crystal structure of PuFeNiGe3 (GGA-PBE). Values from VASP.

Computed properties:
The space-group type is Cmcm. The value obtained for the density of states at the Fermi level is 2.196 states/eV/atom. The value obtained for the formation energy is -0.1098 eV/atom. The calculation puts the energy at -86.17 eV/cell. The total moment is 12.589 μB/cell. As for the crystal system: orthorhombic.

Cell and atoms, written as Quantum ESPRESSO input:
```
&SYSTEM
  ibrav = 0, nat = 12, ntyp = 4
/
ATOMIC_SPECIES
Pu 244.00 Pu.upf
Fe 55.84 Fe.upf
Ni 58.69 Ni.upf
Ge 72.64 Ge.upf
CELL_PARAMETERS angstrom
2.9371 -5.5349 0.0000
2.9371 5.5349 0.0000
0.0000 0.0000 6.7530
ATOMIC_POSITIONS crystal
Pu 0.2389 0.7611 0.7500
Pu 0.7611 0.2389 0.2500
Fe 0.0865 0.9135 0.2500
Fe 0.9135 0.0865 0.7500
Ni 0.4869 0.5131 0.2500
Ni 0.5131 0.4869 0.7500
Ge 0.2251 0.2251 0.0000
Ge 0.2251 0.2251 0.5000
Ge 0.2836 0.7164 0.2500
Ge 0.7164 0.2836 0.7500
Ge 0.7749 0.7749 0.0000
Ge 0.7749 0.7749 0.5000
```

(8)
Entry from Alexandria via LeMat-Bulk: an optimized crystal structure of FeNiGeRh (GGA-PBE). Values from VASP.

Computed properties:
The space-group type is F-43m. The value obtained for the density of states at the Fermi level is 0.603 states/eV/atom. The value obtained for the formation energy is -0.1731 eV/atom. The calculation puts the energy at -26.91 eV/cell. The total moment is 2.402 μB/cell. As for the crystal system: cubic.

Cell and atoms, written as Quantum ESPRESSO input:
```
&SYSTEM
  ibrav = 0, nat = 4, ntyp = 4
/
ATOMIC_SPECIES
Fe 55.84 Fe.upf
Ni 58.69 Ni.upf
Ge 72.64 Ge.upf
Rh 102.91 Rh.upf
CELL_PARAMETERS angstrom
0.0000 2.9355 2.9355
2.9355 0.0000 2.9355
2.9355 2.9355 0.0000
ATOMIC_POSITIONS crystal
Fe 0.0000 0.0000 0.0000
Ni 0.7500 0.7500 0.7500
Ge 0.2500 0.2500 0.2500
Rh 0.5000 0.5000 0.5000
```

(9)
Entry from Alexandria via LeMat-Bulk: an optimized crystal structure of FeNi2GeRh (GGA-PBE). Values from VASP.

Computed properties:
The space-group type is P4/mmm. The value obtained for the density of states at the Fermi level is 2.787 states/eV/atom. The value obtained for the formation energy is 1.4164 eV/atom. The calculation puts the energy at -24.91 eV/cell. The total moment is 2.112 μB/cell. As for the crystal system: tetragonal.

Cell and atoms, written as Quantum ESPRESSO input:
```
&SYSTEM
  ibrav = 0, nat = 5, ntyp = 4
/
ATOMIC_SPECIES
Fe 55.84 Fe.upf
Ni 58.69 Ni.upf
Ge 72.64 Ge.upf
Rh 102.91 Rh.upf
CELL_PARAMETERS angstrom
4.5237 0.0000 0.0000
0.0000 4.5237 0.0000
0.0000 0.0000 4.5298
ATOMIC_POSITIONS crystal
Fe 0.0000 0.0000 0.0000
Ni 0.0000 0.5000 0.5000
Ni 0.5000 0.0000 0.5000
Ge 0.5000 0.5000 0.0000
Rh 0.5000 0.5000 0.5000
```

(10)
Entry from Alexandria via LeMat-Bulk: an optimized crystal structure of ScFeNiGe2 (GGA-PBE). Values from VASP.

Computed properties:
The space-group type is I-4m2. The value obtained for the density of states at the Fermi level is 0.559 states/eV/atom. The value obtained for the formation energy is -0.4724 eV/atom. The calculation puts the energy at -32.17 eV/cell. The total moment is 0.001 μB/cell. As for the crystal system: tetragonal.

Cell and atoms, written as Quantum ESPRESSO input:
```
&SYSTEM
  ibrav = 0, nat = 5, ntyp = 4
/
ATOMIC_SPECIES
Sc 44.96 Sc.upf
Fe 55.84 Fe.upf
Ni 58.69 Ni.upf
Ge 72.64 Ge.upf
CELL_PARAMETERS angstrom
-1.9271 1.9271 5.0811
1.9271 -1.9271 5.0811
1.9271 1.9271 -5.0811
ATOMIC_POSITIONS crystal
Sc 0.0000 0.0000 0.0000
Fe 0.7500 0.2500 0.5000
Ni 0.2500 0.7500 0.5000
Ge 0.3782 0.3782 0.0000
Ge 0.6218 0.6218 0.0000
```